First-principles (GGA-PBE) data for a relaxed NpMnIrRh crystal, as listed in Alexandria.

Lattice parameters (Å, degrees): 4.6137 4.6137 4.6137 60.00 60.00 60.00
Site moments in Bohr magnetons follow the coordinates.
Element x y z (fractional)
Np 0.7500 0.7500 0.7500  3.41
Rh 0.5000 0.5000 0.5000  -0.10
Mn 0.2500 0.2500 0.2500  3.91
Ir 0.0000 0.0000 0.0000  -0.02

Energy relative to the elements   -0.165 eV/atom

First-principles (GGA-PBE) data for a relaxed NpMnSi2Ir crystal, as listed in Alexandria.

Lattice parameters (Å, degrees): 3.9398 3.9398 5.9158 109.45 109.45 90.00
Site moments in Bohr magnetons follow the coordinates.
Element x y z (fractional)
Mn 0.7500 0.2500 0.5000  2.46
Si 0.6151 0.6151 0.2303  -0.05
Np 0.0000 0.0000 0.0000  3.64
Ir 0.2500 0.7500 0.5000  0.02
Si 0.3849 0.3849 0.7697  -0.05

Formation energy without anion corrections   -12.45 kcal/mol of atoms

First-principles (GGA-PBE) data for a relaxed NpMnTcIr crystal, as listed in Alexandria.

Lattice parameters (Å, degrees): 4.5772 4.5772 4.5772 60.00 60.00 60.00
Site moments in Bohr magnetons follow the coordinates.
Element x y z (fractional)
Np 0.2500 0.2500 0.2500  3.18
Ir 0.0000 0.0000 0.0000  -0.01
Mn 0.7500 0.7500 0.7500  3.67
Tc 0.5000 0.5000 0.5000  -0.33

Energy relative to the elements   0.008 eV/atom

First-principles (GGA-PBE) data for a relaxed NpMnVIr crystal, as listed in Alexandria.

Lattice parameters (Å, degrees): 4.4191 4.4191 4.4191 60.00 60.00 60.00
Site moments in Bohr magnetons follow the coordinates.
Element x y z (fractional)
Mn 0.2500 0.2500 0.2500  1.99
Np 0.5000 0.5000 0.5000  2.82
Ir 0.0000 0.0000 0.0000  0.20
V 0.7500 0.7500 0.7500  0.01

Energy relative to the elements   0.108 eV/atom

Number 1: ρ 14.0 g/cm3. Number 2: ρ 11.1 g/cm3. Number 3: ρ 14.3 g/cm3. Number 4: ρ 14.6 g/cm3.